Entry 1:
Er3Be2Ga4 (GGA-PBE, relaxed); ΔE_f = -0.498 eV/atom; DOS(E_F) = 4.737 states/eV/cell; E = -37.734 eV/cell
1.0
4.0409 0.0000 1.0780
1.6294 4.9359 2.0048
-0.0928 0.3073 8.4610
Ga Be Er
4 2 3
Cartesian
1.7310 1.8524 1.6241
4.9546 3.8100 5.7661
3.8466 3.3908 9.9197
0.6230 1.4332 5.7776
3.0585 4.7925 4.7608
2.5191 0.4507 6.7830
3.1980 1.8206 4.2377
0.0000 0.0000 0.0000
2.3795 3.4225 7.3061

Entry 2:
NdHo12Er5 (GGA-PBE, relaxed); ΔE_f = 0.010 eV/atom; DOS(E_F) = 22.941 states/eV/cell; E = -82.338 eV/cell
1.0
-2.9542 0.5173 5.3399
2.8752 -5.2192 -1.4153
14.3010 4.3310 8.6631
Ho Er Nd
12 5 1
Cartesian
9.5295 2.3677 6.2128
11.8511 0.2152 10.0440
3.7624 0.5697 5.5390
12.8652 1.5977 6.9591
10.9151 3.5167 9.2189
5.7054 -1.3423 3.2874
10.4596 -0.9405 7.0487
1.3568 -1.9685 5.6286
4.6925 -2.7386 6.3749
2.3710 -0.5860 2.5437
3.3069 -3.8875 3.3688
8.5166 0.9715 9.3003
-1.0113 -1.3946 3.0884
0.9323 -3.3072 0.8362
9.0554 -2.0988 4.0407
5.1667 1.7279 8.5470
7.1110 -0.1854 6.2938
0.0000 0.0000 0.0000

Entry 3:
ReCO2F (GGA-PBE, relaxed); DOS(E_F) = 5.444 states/eV/cell; E_form (uncorrected) = 28 kJ per mole of atoms; E = -32.013 eV/cell
1.0
-2.6474 -1.8795 -1.9912
2.0480 -3.1976 0.2954
-1.9787 -0.9421 3.5201
O C Re F
2 1 1 1
Cartesian
1.0240 -1.5988 0.1477
-1.3237 -0.9398 -0.9956
-1.2891 -3.0097 0.9121
0.0000 0.0000 0.0000
-0.9894 -0.4711 1.7600

Entry 4:
NaTaBe3 (GGA-PBE, relaxed); ΔE_f = 1.443 eV/atom; DOS(E_F) = 0.801 states/eV/cell; relative energy among the computed polymorphs = 12.2 meV/atom; E = -17.133 eV/cell
1.0
4.0233 0.0000 0.0000
0.0000 4.0233 0.0000
0.0000 0.0000 4.0233
Be Na Ta
3 1 1
Cartesian
2.0116 0.0000 0.0000
0.0000 0.0000 2.0116
0.0000 2.0116 0.0000
0.0000 0.0000 0.0000
2.0116 2.0116 2.0116